LaInTe3 (PBE, relaxed); energy = -4.282 eV per atom; formation energy (no corrections) = -0.863 eV per atom; symmetry = No. 63
1.0
-4.219 -0.547 -1.166
0.900 -4.205 7.063
-2.614 8.570 5.435
In Te La
2 6 2
Direct
0.043 0.584 0.750 In
0.957 0.416 0.250 In
0.172 0.844 0.567 Te
0.172 0.844 0.933 Te
0.828 0.156 0.067 Te
0.428 0.356 0.750 Te
0.572 0.644 0.250 Te
0.828 0.156 0.433 Te
0.770 0.039 0.750 La
0.230 0.961 0.250 La